[1]
A relaxed structure of Pr2Nd3Sm3, computed with PBE-GGA.

```
8
Lattice="10.685 -2.594 0.000 10.685 2.594 0.000 -1.256 0.000 5.036" Properties=species:S:1:pos:R:3 pbc="T T T"
Pr 5.027 0.000 1.258
Pr 15.088 0.000 3.777
Nd 0.000 0.000 0.000
Nd 1.862 0.000 3.141
Nd 18.253 0.000 1.894
Sm 6.932 0.000 4.410
Sm 10.057 0.000 2.518
Sm 13.183 0.000 0.625
```

Results
**Polymorph energy (0 for the lowest one)**: 0.000 eV/atom
**Mass density**: 6.9 g/cm3
**ΔH_f (0 K)**: 0.3 kcal/mol of atoms


[2]
A relaxed structure of KNbTlCl6, computed with PBE-GGA.

```
18
Lattice="7.575 0.000 0.000 -3.788 6.560 0.000 0.000 0.000 12.157" Properties=species:S:1:pos:R:3 pbc="T T T"
K 0.000 0.000 0.000
K 0.000 0.000 6.078
Nb 0.000 4.374 3.039
Nb 3.788 2.187 9.118
Tl 0.000 4.374 9.118
Tl 3.788 2.187 3.039
Cl -0.978 2.634 1.628
Cl -1.996 4.397 4.450
Cl 0.978 2.634 4.450
Cl -1.018 6.090 1.628
Cl 2.770 0.470 7.707
Cl 1.792 2.163 10.529
Cl 1.996 4.397 1.628
Cl 1.018 6.090 4.450
Cl 4.806 0.470 10.529
Cl 2.810 3.927 7.707
Cl 5.783 2.163 7.707
Cl 4.765 3.927 10.529
```

Results
**Formation energy without anion corrections**: -12.3 eV per formula unit
**Mass density**: 3.0 g/cm3


[3]
A relaxed structure of Ba2Ca2Pd15, computed with PBE-GGA.

```
19
Lattice="4.753 2.744 4.645 -4.753 2.744 4.645 0.000 -5.489 4.645" Properties=species:S:1:pos:R:3 pbc="T T T"
Ba 0.000 0.000 2.033
Ba 0.000 0.000 11.904
Ca 0.000 0.000 5.488
Ca 0.000 0.000 8.448
Pd -2.377 -1.372 4.645
Pd 0.000 -2.756 4.485
Pd -2.387 1.378 4.485
Pd -1.418 -2.455 6.968
Pd -2.835 0.000 6.968
Pd -2.387 -1.378 9.451
Pd -2.377 1.372 9.291
Pd 1.418 -2.455 6.968
Pd 0.000 2.744 4.645
Pd -1.418 2.455 6.968
Pd 2.387 1.378 4.485
Pd 2.835 0.000 6.968
Pd 1.418 2.455 6.968
Pd 2.387 -1.378 9.451
Pd 0.000 2.756 9.451
```

Results
**Mass density**: 8.9 g/cm3
**ΔH_f (0 K)**: -9.4 kcal/mol of atoms


[4]
A relaxed structure of Er3TeAsS, computed with PBE-GGA.

```
12
Lattice="3.394 -7.186 0.000 3.394 7.186 0.000 -2.027 0.000 6.444" Properties=species:S:1:pos:R:3 pbc="T T T"
Er 1.672 0.969 0.008
Er 1.874 3.657 4.833
Er 0.658 -0.969 3.230
Er 4.103 0.969 3.214
Er 2.888 -3.657 1.611
Er 3.090 -0.969 6.436
Te 2.888 3.599 1.611
Te 1.874 -3.599 4.833
As 1.874 0.950 4.833
As 2.888 -0.950 1.611
S 1.874 6.338 4.833
S 2.888 -6.338 1.611
```

Results
**Formation energy without anion corrections**: -8.1 eV per formula unit
**Mass density**: 7.8 g/cm3


[5]
A relaxed structure of YSi2Ir, computed with PBE-GGA.

```
4
Lattice="4.216 0.000 0.000 0.000 4.332 0.000 -1.147 0.000 4.061" Properties=species:S:1:pos:R:3 pbc="T T T"
Y 0.000 0.000 0.000
Si 1.306 0.000 2.203
Si 2.518 2.166 1.291
Ir 0.560 2.166 2.763
```

Results
**Formation energy without anion corrections**: -1.7 eV per formula unit
**Mass density**: 7.6 g/cm3


[6]
A relaxed structure of NaB4, computed with PBE-GGA.

```
5
Lattice="4.420 0.000 0.000 0.000 4.420 0.000 0.000 0.000 4.420" Properties=species:S:1:pos:R:3 pbc="T T T"
Na 0.000 0.000 0.000
B 0.000 0.000 2.210
B 0.000 2.210 0.000
B 2.210 0.000 0.000
B 2.210 2.210 2.210
```

Results
**Polymorph energy (0 for the lowest one)**: 2.783 eV/atom
**Mass density**: 1.3 g/cm3
**ΔH_f (0 K)**: 84.0 kcal/mol of atoms


[7]
A relaxed structure of LaMg4Pb, computed with PBE-GGA.

```
6
Lattice="0.000 4.329 4.329 4.329 0.000 4.329 4.329 4.329 0.000" Properties=species:S:1:pos:R:3 pbc="T T T"
La 0.000 0.000 0.000
Mg 5.411 3.247 3.247
Mg 3.247 5.411 3.247
Mg 3.247 3.247 5.411
Mg 5.411 5.411 5.411
Pb 2.165 2.165 2.165
```

Results
**Mass density**: 4.5 g/cm3
**ΔH_f (0 K)**: -1.1 kcal/mol of atoms


[8]
A relaxed structure of LiTiHg2S4, computed with PBE-GGA.

```
16
Lattice="8.268 0.000 0.000 0.000 7.027 0.000 0.000 0.000 6.770" Properties=species:S:1:pos:R:3 pbc="T T T"
Li 0.000 1.128 0.000
Li 4.134 5.899 3.385
Ti 0.000 5.860 3.400
Ti 4.134 1.167 0.015
Hg 2.063 2.288 3.466
Hg 2.071 4.739 0.082
Hg 6.205 2.288 3.466
Hg 6.197 4.739 0.082
S 0.000 0.955 2.500
S 0.000 5.916 5.709
S 1.951 4.816 2.712
S 2.182 2.211 6.097
S 4.134 1.111 2.324
S 4.134 6.072 5.884
S 6.085 2.211 6.097
S 6.316 4.816 2.712
```

Results
**Formation energy without anion corrections**: -5.4 eV per formula unit
**Mass density**: 4.9 g/cm3


[9]
A relaxed structure of SrTbDy2S4, computed with PBE-GGA.

```
8
Lattice="6.919 0.000 0.000 0.000 3.965 0.000 -2.262 0.000 6.540" Properties=species:S:1:pos:R:3 pbc="T T T"
Sr 0.000 0.000 0.000
Tb 3.459 1.983 0.000
Dy -1.131 1.983 3.270
Dy 2.329 0.000 3.270
S 0.079 0.000 4.858
S 1.217 1.983 1.723
S 3.441 1.983 4.817
S 4.578 0.000 1.682
```

Results
**Formation energy without anion corrections**: -16.0 eV per formula unit
**Mass density**: 6.5 g/cm3


[10]
A relaxed structure of CaNb2TlSn, computed with PBE-GGA.

```
5
Lattice="5.356 0.000 0.000 0.000 5.356 0.000 0.000 0.000 5.607" Properties=species:S:1:pos:R:3 pbc="T T T"
Ca 0.000 0.000 0.000
Nb 0.000 2.678 2.804
Nb 2.678 0.000 2.804
Tl 2.678 2.678 2.804
Sn 2.678 2.678 0.000
```

Results
**Mass density**: 5.7 g/cm3
**ΔH_f (0 K)**: 31.5 kcal/mol of atoms


[11]
A relaxed structure of Zn2CdGa6, computed with PBE-GGA.

```
9
Lattice="7.631 -3.808 0.000 7.631 3.808 0.000 -0.205 0.000 2.922" Properties=species:S:1:pos:R:3 pbc="T T T"
Zn 2.460 0.000 0.567
Zn 12.598 0.000 2.355
Cd 7.529 0.000 1.461
Ga 4.943 1.416 0.857
Ga 7.631 2.493 0.000
Ga 10.114 1.416 2.065
Ga 4.943 -1.416 0.857
Ga 7.631 -2.493 0.000
Ga 10.114 -1.416 2.065
```

Results
**Polymorph energy (0 for the lowest one)**: 0.022 eV/atom
**Mass density**: 6.5 g/cm3
**ΔH_f (0 K)**: 1.3 kcal/mol of atoms


[12]
A relaxed structure of AcLaPtRh, computed with PBE-GGA.

```
4
Lattice="0.000 3.686 3.686 3.686 0.000 3.686 3.686 3.686 0.000" Properties=species:S:1:pos:R:3 pbc="T T T"
Ac 0.000 0.000 0.000
La 3.686 3.686 3.686
Pt 5.529 5.529 5.529
Rh 1.843 1.843 1.843
```

Results
**Polymorph energy (0 for the lowest one)**: 0.110 eV/atom
**Mass density**: 11.0 g/cm3
**ΔH_f (0 K)**: -19.3 kcal/mol of atoms